Entry from OQMD via LeMat-Bulk: crystalline Nd3Zn3NiPt2 at its relaxed geometry (PBE-GGA).

Lattice parameters (Å, degrees): 7.3603 7.3603 3.9476 90.00 90.00 120.00
Space group P-62m (No. 189)
One atom of each set of equivalent atoms:
Nd (0.0000, 0.5951, 0.0000) (multiplicity 3)
Zn (0.0000, 0.2302, 0.5000) (multiplicity 3)
Ni (0.0000, 0.0000, 0.0000) (multiplicity 1)
Pt (0.3333, 0.6667, 0.5000) (multiplicity 2)

Output
As for the electronic total energy: -4.7072 eV per atom. As for the formation enthalpy at 0 K: -0.734 eV/atom. For the total magnetization, the calculation gives 0.001 μB/atom.


Entry from OQMD via LeMat-Bulk: crystalline ZnPtPb2 at its relaxed geometry (PBE-GGA).

Lattice parameters (Å, degrees): 7.116 7.116 7.116 90.00 90.00 90.00
Space group F-43m (No. 216)
One atom of each set of equivalent atoms:
Zn (0.000, 0.000, 0.000) (multiplicity 4)
Pt (0.250, 0.250, 0.750) (multiplicity 4)
Pb (0.000, 0.000, 0.500) (multiplicity 4)
Pb (0.250, 0.250, 0.250) (multiplicity 4)

Output
As for the electronic total energy: -3.4878 eV per atom. For the total magnetization, the calculation gives 0.001 μB/atom.


Entry from OQMD via LeMat-Bulk: crystalline CsCoHgSe3 at its relaxed geometry (PBE-GGA).

Lattice parameters (Å, degrees): 3.755 16.981 10.550 90.00 90.00 90.00
Space group Cmcm (No. 63)
One atom of each set of equivalent atoms:
Cs (0.000, 0.229, 0.250) (multiplicity 4)
Co (0.000, 0.500, 0.000) (multiplicity 4)
Hg (0.000, 0.082, 0.750) (multiplicity 4)
Se (0.000, 0.092, 0.508) (multiplicity 8)
Se (0.000, 0.456, 0.750) (multiplicity 4)

Output
As for the electronic total energy: -3.4033 eV per atom. For the total magnetization, the calculation gives 0.001 μB/atom.


Entry from OQMD via LeMat-Bulk: crystalline ZrBSb at its relaxed geometry (PBE-GGA).

Lattice parameters (Å, degrees): 6.425 6.425 6.425 90.00 90.00 90.00
Space group F-43m (No. 216)
One atom of each set of equivalent atoms:
Zr (0.000, 0.000, 0.000) (multiplicity 4)
B (0.250, 0.250, 0.750) (multiplicity 4)
Sb (0.250, 0.250, 0.250) (multiplicity 4)

Output
As for the electronic total energy: -5.5873 eV per atom. For the polymorph energy (0 for the lowest one), the calculation gives 378.8 meV per atom. For the total magnetization, the calculation gives 0.000 μB/atom.


Entry from OQMD via LeMat-Bulk: crystalline AlNi3 at its relaxed geometry (PBE-GGA).

Lattice parameters (Å, degrees): 5.0523 5.0523 4.0570 90.00 90.00 120.00
Space group P6_3/mmc (No. 194)
One atom of each set of equivalent atoms:
Al (0.3333, 0.6667, 0.2500) (multiplicity 2)
Ni (0.1647, 0.3295, 0.7500) (multiplicity 6)

Output
As for the electronic total energy: -5.5404 eV per atom. For the total magnetization, the calculation gives 0.111 μB/atom.


Entry from OQMD via LeMat-Bulk: crystalline DyTaAu at its relaxed geometry (PBE-GGA).

Lattice parameters (Å, degrees): 6.700 6.700 6.700 90.00 90.00 90.00
Space group F-43m (No. 216)
One atom of each set of equivalent atoms:
Dy (0.000, 0.000, 0.000) (multiplicity 4)
Ta (0.250, 0.250, 0.250) (multiplicity 4)
Au (0.250, 0.250, 0.750) (multiplicity 4)

Output
As for the electronic total energy: -5.5451 eV per atom. As for the formation enthalpy at 0 K: 1.028 eV/atom. For the total magnetization, the calculation gives 0.731 μB/atom.


Entry from OQMD via LeMat-Bulk: crystalline TbF2 at its relaxed geometry (PBE-GGA).

Lattice parameters (Å, degrees): 4.957 4.957 3.931 90.00 90.00 90.00
Space group P4_2/mnm (No. 136)
One atom of each set of equivalent atoms:
Tb (0.000, 0.000, 0.000) (multiplicity 2)
F (0.182, 0.182, 0.500) (multiplicity 4)

Output
As for the electronic total energy: -6.0262 eV per atom. For the total magnetization, the calculation gives 0.261 μB/atom.


Entry from OQMD via LeMat-Bulk: crystalline CdTePbO at its relaxed geometry (PBE-GGA).

Lattice parameters (Å, degrees): 4.2279 4.2279 13.2688 90.00 90.00 120.00
Space group P6_3mc (No. 186)
One atom of each set of equivalent atoms:
Cd (0.0000, 0.0000, 0.0000) (multiplicity 2)
Te (0.3333, 0.6667, 0.1056) (multiplicity 2)
Pb (0.3333, 0.6667, 0.7868) (multiplicity 2)
O (0.0000, 0.0000, 0.3369) (multiplicity 2)

Output
As for the electronic total energy: -3.8302 eV per atom. For the polymorph energy (0 for the lowest one), the calculation gives 24.5 meV per atom.


Entry from OQMD via LeMat-Bulk: crystalline Ta2Si3W4N3 at its relaxed geometry (PBE-GGA).

Lattice parameters (Å, degrees): 8.635 5.027 14.191 90.00 101.94 90.00
Space group C2/c (No. 15)
One atom of each set of equivalent atoms:
Ta (0.033, 0.079, 0.347) (multiplicity 8)
Si (0.000, 0.440, 0.750) (multiplicity 4)
Si (0.241, 0.162, 0.750) (multiplicity 8)
W (0.113, 0.417, 0.591) (multiplicity 8)
W (0.221, 0.421, 0.908) (multiplicity 8)
N (0.081, 0.238, 0.999) (multiplicity 8)
N (0.250, 0.250, 0.500) (multiplicity 4)

Output
As for the electronic total energy: -9.9022 eV per atom. For the total magnetization, the calculation gives 0.000 μB/atom.


Entry from OQMD via LeMat-Bulk: crystalline GdMgCdPt at its relaxed geometry (PBE-GGA).

Lattice parameters (Å, degrees): 4.886 11.119 6.729 90.00 90.00 90.00
Space group Cmm2 (No. 35)
One atom of each set of equivalent atoms:
Gd (0.000, 0.148, 0.000) (multiplicity 4)
Mg (0.000, 0.150, 0.454) (multiplicity 4)
Cd (0.000, 0.374, 0.687) (multiplicity 4)
Pt (0.000, 0.370, 0.230) (multiplicity 4)

Output
As for the electronic total energy: -3.6561 eV per atom. For the total magnetization, the calculation gives 0.001 μB/atom.


Entry from OQMD via LeMat-Bulk: crystalline Nd2SmB2N4 at its relaxed geometry (PBE-GGA).

Lattice parameters (Å, degrees): 3.497 6.248 10.802 90.00 90.00 90.00
Space group Immm (No. 71)
One atom of each set of equivalent atoms:
Nd (0.000, 0.000, 0.201) (multiplicity 4)
Sm (0.000, 0.500, 0.000) (multiplicity 2)
B (0.000, 0.357, 0.500) (multiplicity 4)
N (0.000, 0.241, 0.381) (multiplicity 8)

Output
As for the electronic total energy: -8.0754 eV per atom. For the total magnetization, the calculation gives 0.000 μB/atom.


Entry from OQMD via LeMat-Bulk: crystalline Ba2LiTcSe6 at its relaxed geometry (PBE-GGA).

Lattice parameters (Å, degrees): 7.107 7.107 10.067 90.00 90.00 90.00
Space group I4/m (No. 87)
One atom of each set of equivalent atoms:
Ba (0.000, 0.500, 0.250) (multiplicity 4)
Li (0.000, 0.000, 0.000) (multiplicity 2)
Tc (0.000, 0.000, 0.500) (multiplicity 2)
Se (0.000, 0.000, 0.251) (multiplicity 4)
Se (0.244, 0.254, 0.500) (multiplicity 8)

Output
As for the electronic total energy: -4.6118 eV per atom. For the total magnetization, the calculation gives 0.036 μB/atom.


Entry from OQMD via LeMat-Bulk: crystalline HfZn at its relaxed geometry (PBE-GGA).

Lattice parameters (Å, degrees): 6.0359 6.0359 4.8060 90.00 90.00 120.00
Space group P-6m2 (No. 187)
One atom of each set of equivalent atoms:
Hf (0.0000, 0.0000, 0.0000) (multiplicity 1)
Hf (0.3321, 0.1661, 0.5000) (multiplicity 3)
Zn (0.3333, 0.6667, 0.5000) (multiplicity 1)
Zn (0.5077, 0.0155, 0.0000) (multiplicity 3)

Output
As for the electronic total energy: -5.5336 eV per atom. As for the formation enthalpy at 0 K: 0.076 eV/atom. For the total magnetization, the calculation gives 0.024 μB/atom.


Entry from OQMD via LeMat-Bulk: crystalline CuTcNiSn at its relaxed geometry (PBE-GGA).

Lattice parameters (Å, degrees): 6.175 6.175 6.175 90.00 90.00 90.00
Space group F-43m (No. 216)
One atom of each set of equivalent atoms:
Cu (0.000, 0.000, 0.000) (multiplicity 4)
Tc (0.000, 0.000, 0.500) (multiplicity 4)
Ni (0.250, 0.250, 0.250) (multiplicity 4)
Sn (0.250, 0.250, 0.750) (multiplicity 4)

Output
As for the electronic total energy: -5.6957 eV per atom. For the polymorph energy (0 for the lowest one), the calculation gives 0.0 meV per atom. For the total magnetization, the calculation gives 0.283 μB/atom.


Entry from OQMD via LeMat-Bulk: crystalline YBeNb at its relaxed geometry (PBE-GGA).

Lattice parameters (Å, degrees): 6.563 6.563 6.563 90.00 90.00 90.00
Space group F-43m (No. 216)
One atom of each set of equivalent atoms:
Y (0.000, 0.000, 0.000) (multiplicity 4)
Be (0.250, 0.250, 0.750) (multiplicity 4)
Nb (0.250, 0.250, 0.250) (multiplicity 4)

Output
As for the electronic total energy: -5.2569 eV per atom. For the polymorph energy (0 for the lowest one), the calculation gives 307.9 meV per atom. For the total magnetization, the calculation gives 0.814 μB/atom.


Entry from OQMD via LeMat-Bulk: crystalline Pr2CdAs2IrO2 at its relaxed geometry (PBE-GGA).

Lattice parameters (Å, degrees): 4.143 4.143 8.809 90.00 90.00 90.00
Space group P-4m2 (No. 115)
One atom of each set of equivalent atoms:
Pr (0.000, 0.500, 0.133) (multiplicity 2)
Cd (0.500, 0.500, 0.500) (multiplicity 1)
As (0.000, 0.500, 0.684) (multiplicity 2)
Ir (0.000, 0.000, 0.500) (multiplicity 1)
O (0.000, 0.000, 0.000) (multiplicity 1)
O (0.500, 0.500, 0.000) (multiplicity 1)

Output
As for the electronic total energy: -6.3933 eV per atom. For the total magnetization, the calculation gives 0.003 μB/atom.


Entry from OQMD via LeMat-Bulk: crystalline BaMg2HgPt at its relaxed geometry (PBE-GGA).

Lattice parameters (Å, degrees): 4.501 4.501 12.786 90.00 90.00 90.00
Space group I4mm (No. 107)
One atom of each set of equivalent atoms:
Ba (0.000, 0.000, 0.000) (multiplicity 2)
Mg (0.000, 0.500, 0.230) (multiplicity 4)
Hg (0.000, 0.000, 0.381) (multiplicity 2)
Pt (0.000, 0.000, 0.615) (multiplicity 2)

Output
As for the electronic total energy: -2.8357 eV per atom. For the total magnetization, the calculation gives 0.000 μB/atom.


Entry from OQMD via LeMat-Bulk: crystalline KNbAsO at its relaxed geometry (PBE-GGA).

Lattice parameters (Å, degrees): 3.544 7.962 6.026 90.00 90.00 90.00
Space group Pmc2_1 (No. 26)
One atom of each set of equivalent atoms:
K (0.000, 0.112, 0.000) (multiplicity 2)
Nb (0.500, 0.500, 0.243) (multiplicity 2)
As (0.000, 0.315, 0.492) (multiplicity 2)
O (0.500, 0.329, 0.991) (multiplicity 2)

Output
As for the electronic total energy: -6.3902 eV per atom. For the polymorph energy (0 for the lowest one), the calculation gives 0.0 meV per atom. For the total magnetization, the calculation gives 0.001 μB/atom.


Entry from OQMD via LeMat-Bulk: crystalline KScCoTe3 at its relaxed geometry (PBE-GGA).

Lattice parameters (Å, degrees): 11.012 4.128 15.290 90.00 90.00 90.00
Space group Pnma (No. 62)
One atom of each set of equivalent atoms:
K (0.239, 0.250, 0.003) (multiplicity 4)
Sc (0.011, 0.750, 0.253) (multiplicity 4)
Co (0.246, 0.750, 0.787) (multiplicity 4)
Te (0.050, 0.750, 0.876) (multiplicity 4)
Te (0.064, 0.250, 0.383) (multiplicity 4)
Te (0.241, 0.250, 0.687) (multiplicity 4)

Output
As for the electronic total energy: -4.7573 eV per atom. For the polymorph energy (0 for the lowest one), the calculation gives 29.8 meV per atom. For the total magnetization, the calculation gives 0.401 μB/atom.


Entry from OQMD via LeMat-Bulk: crystalline PrGd2Pt3Pb3 at its relaxed geometry (PBE-GGA).

Lattice parameters (Å, degrees): 4.077 13.533 7.769 90.00 90.00 90.00
Space group Amm2 (No. 38)
One atom of each set of equivalent atoms:
Pr (0.000, 0.000, 0.000) (multiplicity 2)
Gd (0.000, 0.203, 0.609) (multiplicity 4)
Pt (0.000, 0.000, 0.412) (multiplicity 2)
Pt (0.500, 0.170, 0.905) (multiplicity 4)
Pb (0.500, 0.000, 0.667) (multiplicity 2)
Pb (0.500, 0.130, 0.277) (multiplicity 4)

Output
As for the electronic total energy: -5.6577 eV per atom. For the total magnetization, the calculation gives 0.000 μB/atom.


Entry from OQMD via LeMat-Bulk: crystalline InCuGeSe3 at its relaxed geometry (PBE-GGA).

Lattice parameters (Å, degrees): 3.834 12.718 10.765 90.00 90.00 90.00
Space group Cmcm (No. 63)
One atom of each set of equivalent atoms:
In (0.000, 0.232, 0.250) (multiplicity 4)
Cu (0.000, 0.473, 0.750) (multiplicity 4)
Ge (0.000, 0.000, 0.000) (multiplicity 4)
Se (0.000, 0.098, 0.750) (multiplicity 4)
Se (0.000, 0.358, 0.569) (multiplicity 8)

Output
As for the electronic total energy: -3.7758 eV per atom. For the polymorph energy (0 for the lowest one), the calculation gives 18.1 meV per atom.


Entry from OQMD via LeMat-Bulk: crystalline LuCdFeSi at its relaxed geometry (PBE-GGA).

Lattice parameters (Å, degrees): 6.556 6.556 6.556 90.00 90.00 90.00
Space group F-43m (No. 216)
One atom of each set of equivalent atoms:
Lu (0.000, 0.000, 0.000) (multiplicity 4)
Cd (0.250, 0.250, 0.750) (multiplicity 4)
Fe (0.000, 0.000, 0.500) (multiplicity 4)
Si (0.250, 0.250, 0.250) (multiplicity 4)

Output
As for the electronic total energy: -4.7500 eV per atom. For the polymorph energy (0 for the lowest one), the calculation gives 0.0 meV per atom. For the total magnetization, the calculation gives 0.577 μB/atom.


Entry from OQMD via LeMat-Bulk: crystalline CsYCdS3 at its relaxed geometry (PBE-GGA).

Lattice parameters (Å, degrees): 9.157 4.168 10.319 90.00 110.91 90.00
Space group P2_1/m (No. 11)
One atom of each set of equivalent atoms:
Cs (0.227, 0.250, 0.242) (multiplicity 2)
Y (0.331, 0.750, 0.869) (multiplicity 2)
Cd (0.084, 0.250, 0.616) (multiplicity 2)
S (0.125, 0.250, 0.868) (multiplicity 2)
S (0.214, 0.750, 0.557) (multiplicity 2)
S (0.477, 0.750, 0.144) (multiplicity 2)

Output
As for the electronic total energy: -4.8519 eV per atom. For the total magnetization, the calculation gives 0.000 μB/atom.